Entry 1:
# Sm2Ni3Ru

Sm2Ni3Ru after structural relaxation (PBE, the Alexandria database).

E ... -113.96 eV/cell
Volume ... 297.9 Å³ per cell

Unit cell a=5.1359 b=5.1359 c=13.0374 alpha=90.00 beta=90.00 gamma=120.00
Space group R-3m (No. 166, hexagonal axes)
One atom of each set of equivalent atoms:
Sm1 0.0000 0.0000 0.1248
Ni1 0.0000 0.5000 0.0000
Ru1 0.0000 0.0000 0.5000

Entry 2:
# Sm4NiRu2

Sm4NiRu2 after structural relaxation (PBE, the Alexandria database).

E ... -134.51 eV/cell
Volume ... 494.8 Å³ per cell

Unit cell a=4.8798 b=4.8798 c=23.9920 alpha=90.00 beta=90.00 gamma=120.00
Space group R-3m (No. 166, hexagonal axes)
One atom of each set of equivalent atoms:
Sm1 0.0000 0.0000 0.1241
Sm2 0.0000 0.0000 0.3744
Ni1 0.0000 0.0000 0.5000
Ru1 0.0000 0.0000 0.2483

Entry 3:
# Sm2NiRu

Sm2NiRu after structural relaxation (PBE, the Alexandria database).

E ... -25.46 eV/cell
Volume ... 83.3 Å³ per cell

Unit cell a=4.915 b=4.915 c=3.449 alpha=90.00 beta=90.00 gamma=90.00
Space group P4/mmm (No. 123)
One atom of each set of equivalent atoms:
Sm1 0.000 0.500 0.000
Ni1 0.000 0.000 0.500
Ru1 0.500 0.500 0.500

Entry 4:
# Sm4NiRu

Sm4NiRu after structural relaxation (PBE, the Alexandria database).

E ... -139.64 eV/cell
Volume ... 616.2 Å³ per cell

Unit cell a=6.894 b=6.894 c=12.966 alpha=90.00 beta=90.00 gamma=90.00
Space group I4/mcm (No. 140)
One atom of each set of equivalent atoms:
Sm1 0.184 0.316 0.128
Ni1 0.000 0.000 0.000
Ru1 0.000 0.000 0.250

Entry 5:
# Sm3NiRu

Sm3NiRu after structural relaxation (PBE, the Alexandria database).

E ... -60.80 eV/cell
Volume ... 243.8 Å³ per cell

Unit cell a=6.384 b=4.049 c=9.431 alpha=90.00 beta=90.11 gamma=90.00
Space group P2_1/m (No. 11)
One atom of each set of equivalent atoms:
Sm1 0.238 0.250 0.057
Sm2 0.238 0.250 0.443
Sm3 0.258 0.750 0.750
Ni1 0.445 0.750 0.251
Ru1 0.054 0.750 0.249

Entry 6:
# Sm8NiRu2

Sm8NiRu2 after structural relaxation (PBE, the Alexandria database).

E ... -126.76 eV/cell
Volume ... 618.9 Å³ per cell

Unit cell a=8.345 b=12.703 c=6.248 alpha=90.00 beta=110.88 gamma=90.00
Space group Cm (No. 8)
One atom of each set of equivalent atoms:
Sm1 0.000 0.000 0.000
Sm2 0.074 0.367 0.803
Sm3 0.144 0.132 0.580
Sm4 0.212 0.500 0.392
Sm5 0.353 0.203 0.200
Ni1 0.358 0.000 0.390
Ru1 0.361 0.311 0.692

> Look up the E of the fifth one.

-60.80 eV/cell